The following is a PBE-GGA calculation of a relaxed CoSbTe2 crystal, from Alexandria.

Cell lengths 9.116, 9.116, 9.116 Å; angles 23.62, 23.62, 23.62 degrees
Positions (direct):
Co  0.000  0.000  0.000
Sb  0.500  0.500  0.500
Te  0.384  0.384  0.384
Te  0.616  0.616  0.616

## Properties
electronic total energy	-4.383	eV per atom
calculated density	6.779	g/cm³

The following is a PBE-GGA calculation of a relaxed Sb3PbSe crystal, from Alexandria.

Cell lengths 5.458, 5.458, 5.458 Å; angles 90.00, 90.00, 90.00 degrees
Positions (direct):
Sb  0.000  0.000  0.500
Sb  0.000  0.500  0.000
Sb  0.500  0.000  0.000
Pb  0.500  0.500  0.500
Se  0.000  0.000  0.000

## Properties
excess energy over the best structure of this formula in the dataset	0.00	kcal/mol of atoms
electronic total energy	-3.449	eV per atom
calculated density	6.652	g/cm³

Among the records above, which one has the lowest calculated density? Sb3PbSe

The highest calculated density belongs to which entry? CoSbTe2

The lowest electronic total energy belongs to which entry? CoSbTe2